# V4As2Au (PBE, relaxed)
data_V4As2Au
_chemical_formula_sum 'V8 As4 Au2'
_symmetry_space_group_name_H-M 'I 4/m m m'
_symmetry_Int_Tables_number 139
_symmetry_space_group_name_Hall '-I 4 2'
_cell_length_a 4.7142
_cell_length_b 4.7142
_cell_length_c 13.3173
_cell_angle_alpha 90.00
_cell_angle_beta 90.00
_cell_angle_gamma 90.00
loop_
_atom_site_label
_atom_site_fract_x
_atom_site_fract_y
_atom_site_fract_z
_atom_site_occupancy
V1 0.0000 0.0000 0.1980 1
V2 0.0000 0.5000 0.0000 1
As1 0.0000 0.0000 0.3832 1
Au1 0.0000 0.0000 0.0000 1
# Formation enthalpy at 0 K   0.83 eV/atom
# DFT total energy   -6.181 eV per atom
# Magnetic moment   18.062 μB per cell